Material: La6Ge3Se2Br
Method: DFT, PBE
State: optimized geometry

Unit cell a=9.8343 b=9.8343 c=8.8030 alpha=102.61 beta=102.61 gamma=25.92
Element x y z (fractional)
La 0.0019 0.0019 0.2329
La 0.3269 0.3269 0.4201
La 0.3351 0.3351 0.9115
La 0.6649 0.6649 0.0885
La 0.6731 0.6731 0.5799
La 0.9981 0.9981 0.7671
Ge 0.1646 0.1646 0.3337
Ge 0.5000 0.5000 0.0000
Ge 0.8354 0.8354 0.6663
Se 0.1663 0.1663 0.8321
Se 0.8337 0.8337 0.1679
Br 0.5000 0.5000 0.5000

Its space-group type is C2/m, No. 12. The raw formation energy comes out at -134.45 kJ/mol of atoms. The value obtained for the total magnetic moment is 0.0 μB/f.u. Its total energy is -5.73 eV/atom.

***

Material: CeHgGe
Method: DFT, PBE
State: optimized geometry

Unit cell a=4.4218 b=4.4218 c=7.5182 alpha=90.00 beta=90.00 gamma=90.00
Element x y z (fractional)
Ce 0.2500 0.2500 0.1752
Ce 0.7500 0.7500 0.8248
Hg 0.2500 0.7500 0.5000
Hg 0.7500 0.2500 0.5000
Ge 0.2500 0.2500 0.7837
Ge 0.7500 0.7500 0.2163

Its space-group type is P4/nmm, No. 129. The value obtained for the total magnetic moment is 0.6 μB/f.u. Its total energy is -4.03 eV/atom. The value obtained for the formation enthalpy at 0 K is -118 kJ/mol of formula units.

***

Material: NbCr2Ag
Method: DFT, PBE
State: optimized geometry

Unit cell a=4.4497 b=4.4497 c=4.4497 alpha=60.00 beta=60.00 gamma=60.00
Element x y z (fractional)
Nb 0.0000 0.0000 0.0000
Cr 0.2500 0.2500 0.2500
Cr 0.7500 0.7500 0.7500
Ag 0.5000 0.5000 0.5000

Its space-group type is Fm-3m, No. 225. The value obtained for the total magnetic moment is 4.2 μB/f.u. Its total energy is -7.55 eV/atom. The value obtained for the formation enthalpy at 0 K is 191 kJ/mol of formula units.

***

Material: SmYIrPb
Method: DFT, PBE
State: optimized geometry

Unit cell a=3.5312 b=3.5312 c=8.1019 alpha=90.00 beta=90.00 gamma=90.00
Element x y z (fractional)
Sm 0.0000 0.0000 0.0000
Y 0.0000 0.0000 0.5894
Ir 0.5000 0.5000 0.7882
Pb 0.5000 0.5000 0.3012

Its space-group type is P4mm, No. 99. The value obtained for the total magnetic moment is 0.0 μB/f.u. Its total energy is -6.58 eV/atom. The value obtained for the formation enthalpy at 0 K is -247 kJ/mol of formula units.

***

What did the first record say?
Material: La6Ge3Se2Br
Method: DFT, PBE
State: optimized geometry

Unit cell a=9.8343 b=9.8343 c=8.8030 alpha=102.61 beta=102.61 gamma=25.92
Element x y z (fractional)
La 0.0019 0.0019 0.2329
La 0.3269 0.3269 0.4201
La 0.3351 0.3351 0.9115
La 0.6649 0.6649 0.0885
La 0.6731 0.6731 0.5799
La 0.9981 0.9981 0.7671
Ge 0.1646 0.1646 0.3337
Ge 0.5000 0.5000 0.0000
Ge 0.8354 0.8354 0.6663
Se 0.1663 0.1663 0.8321
Se 0.8337 0.8337 0.1679
Br 0.5000 0.5000 0.5000

Its space-group type is C2/m, No. 12. The raw formation energy comes out at -134.45 kJ/mol of atoms. The value obtained for the total magnetic moment is 0.0 μB/f.u. Its total energy is -5.73 eV/atom.

***

> Which value of total magnetic moment does entry 2 give?

0.6 μB/f.u.